(1)
A plane-wave DFT calculation with PBE-GGA was carried out for crystalline KCd2Si at its relaxed geometry.

```
KCd2Si
1.0
3.244 0.000 0.000
0.000 4.938 0.000
-0.013 0.000 6.421
K Cd Si
1 2 1
Direct
0.000 0.000 0.000 K
0.499 0.500 0.730 Cd
0.501 0.500 0.270 Cd
0.500 0.000 0.500 Si
```

Calculated values
- Calculated volume: 25.71 Å³ per atom
- E_form (uncorrected): 0.91 eV per formula unit
- Total magnetization: 0.0 Bohr magnetons per cell
- ρ: 4.7 Mg/m³


(2)
A plane-wave DFT calculation with PBE-GGA was carried out for crystalline Pm3Zn2Ge4 at its relaxed geometry.

```
Pm3Zn2Ge4
1.0
5.671 -2.108 0.000
5.671 2.108 0.000
-3.112 0.000 8.153
Pm Zn Ge
3 2 4
Direct
0.000 0.000 0.000 Pm
0.378 0.378 0.310 Pm
0.622 0.622 0.690 Pm
0.316 0.316 0.660 Zn
0.684 0.684 0.340 Zn
0.090 0.090 0.398 Ge
0.285 0.285 0.939 Ge
0.715 0.715 0.061 Ge
0.910 0.910 0.602 Ge
```

Calculated values
- Calculated volume: 21.66 Å³ per atom
- Energy: -0.168 hartree per atom
- Total magnetization: 0.0 Bohr magnetons per cell
- ρ: 7.3 Mg/m³


(3)
A plane-wave DFT calculation with PBE-GGA was carried out for crystalline Dy4ZnRh4 at its relaxed geometry.

```
Dy4ZnRh4
1.0
8.455 0.000 0.000
0.000 8.455 0.000
0.000 0.000 5.500
Dy Zn Rh
8 2 8
Direct
0.048 0.682 0.121 Dy
0.182 0.952 0.621 Dy
0.318 0.548 0.621 Dy
0.452 0.818 0.121 Dy
0.548 0.182 0.879 Dy
0.682 0.452 0.379 Dy
0.818 0.048 0.379 Dy
0.952 0.318 0.879 Dy
0.250 0.250 0.250 Zn
0.750 0.750 0.750 Zn
0.003 0.638 0.620 Rh
0.138 0.997 0.120 Rh
0.362 0.503 0.120 Rh
0.497 0.862 0.620 Rh
0.503 0.138 0.380 Rh
0.638 0.497 0.880 Rh
0.862 0.003 0.880 Rh
0.997 0.362 0.380 Rh
```

Calculated values
- Calculated volume: 21.85 Å³ per atom
- Energy: -0.224 hartree per atom
- Total magnetization: 0.0 Bohr magnetons per cell
- ρ: 9.5 Mg/m³


(4)
A plane-wave DFT calculation with PBE-GGA was carried out for crystalline Sc2Tl2Ga at its relaxed geometry.

```
Sc2Tl2Ga
1.0
7.308 0.000 0.000
0.000 7.308 0.000
0.000 0.000 4.529
Sc Tl Ga
4 4 2
Direct
0.155 0.345 0.000 Sc
0.345 0.845 0.000 Sc
0.655 0.155 0.000 Sc
0.845 0.655 0.000 Sc
0.155 0.655 0.500 Tl
0.345 0.155 0.500 Tl
0.655 0.845 0.500 Tl
0.845 0.345 0.500 Tl
0.000 0.000 0.000 Ga
0.500 0.500 0.000 Ga
```

Calculated values
- Calculated volume: 24.19 Å³ per atom
- E above lowest polymorph: 0.000 eV per formula unit
- Total magnetization: 0.0 Bohr magnetons per cell
- ρ: 7.8 Mg/m³